# SbOsPb2 | Alexandria via LeMat-Bulk | PBE-GGA | relaxed
# Energy relative to the elements, uncorrected ... 0.477 eV per atom
# VASP energy ... -5.215 eV per atom
# M_tot ... 0.000 μB/atom
data_SbOsPb2
_space_group_name_H-M_alt 'I m m 2'
_space_group_IT_number 44
_cell_length_a 3.324
_cell_length_b 4.749
_cell_length_c 13.008
_cell_angle_alpha 90.00
_cell_angle_beta 90.00
_cell_angle_gamma 90.00
loop_
_space_group_symop_operation_xyz
'x,y,z'
'-x,-y,z'
'-x,y,z'
'x,-y,z'
'x+1/2,y+1/2,z+1/2'
'-x+1/2,-y+1/2,z+1/2'
'-x+1/2,y+1/2,z+1/2'
'x+1/2,-y+1/2,z+1/2'
loop_
_atom_site_label
_atom_site_type_symbol
_atom_site_fract_x
_atom_site_fract_y
_atom_site_fract_z
Sb1 Sb 0.000 0.000 0.000
Os1 Os 0.000 0.500 0.339
Pb1 Pb 0.000 0.000 0.634
Pb2 Pb 0.000 0.500 0.811